Below is a relaxed structure of AcIn4Hg, with properties calculated at the PBE-GGA level.

The volume is 171 Å³/f.u. For the energy above the most stable polymorph in this dataset, the calculation gives 0 meV/atom. The value obtained for the formation enthalpy at 0 K is -0.260 eV per atom. The value obtained for the density of states at the Fermi level is 2.525 states/eV/f.u.

It has space group Cmmm (No. 65), with a = 4.8849 Å, b = 14.6640 Å, c = 4.7866 Å, α = 90.00°, β = 90.00° and γ = 90.00°. The asymmetric unit holds Ac at (0.0000, 0.0000, 0.0000), In at (0.0000, 0.1752, 0.5000), In at (0.0000, 0.3220, 0.0000) and Hg at (0.0000, 0.5000, 0.5000).